A relaxed SbSe3 crystal. Source: Alexandria, functional PBE-GGA.

Cell lengths 3.915, 3.915, 13.549 Å; angles 90.00, 90.00, 90.00 degrees
Space group I4/mmm (No. 139)
Symmetry-distinct sites (fractional):
Sb: 0.000 0.000 0.000 (multiplicity 2)
Se: 0.000 0.000 0.500 (multiplicity 2)
Se: 0.000 0.500 0.250 (multiplicity 4)

## Properties
D(E_F) in states/eV/cell: 6.696
Size of the total moment in μB/f.u.: 0.00
Raw formation energy in eV/f.u.: 0.9